DFT (GGA+U) results for MnGaSb2F after structural relaxation.

## Properties
The energy is -3.53 eV per atom. For the density of states at the Fermi level, the calculation gives 5.16 states/eV/f.u. Its space group is P4/mmm, No. 123. As for the volume: 26.9 A^3/atom.

Unit cell a=5.7833 b=5.7833 c=4.0224 alpha=90.00 beta=90.00 gamma=90.00
Last column: nearest neighbours and their distance in Å.
Fractional positions:
Mn 0.0000 0.0000 0.0000  8 Sb 3.52
Ga 0.5000 0.5000 0.5000  2 F 2.01
Sb 0.0000 0.5000 0.5000  2 Ga 2.89
Sb 0.5000 0.0000 0.5000  2 Ga 2.89
F 0.5000 0.5000 0.0000  2 Ga 2.01